1.
The following is a DFT calculation (PBE) of a geometry-optimized NaSr4Tl2 structure.

Lattice parameters (Å, degrees): 5.840 5.840 10.013 73.04 73.04 60.00
Fractional positions:
Sr (0.382, 0.382, 0.855)
Sr (0.618, 0.618, 0.145)
Sr (0.870, 0.870, 0.389)
Sr (0.130, 0.130, 0.611)
Tl (0.746, 0.746, 0.763)
Tl (0.254, 0.254, 0.237)
Na (0.000, 0.000, 0.000)

Output
calculated volume = 278 Å³ per cell
ΔH_f (0 K) = -225 meV/atom
density = 4.66 g/cm³
space-group type = R-3m, No. 166
VASP energy = -2.050 eV/atom

=====

2.
The following is a DFT calculation (PBE) of a geometry-optimized Ca4CdAu3 structure.

Lattice parameters (Å, degrees): 4.020 4.716 11.302 90.00 90.00 90.00
Fractional positions:
Ca (0.000, 0.000, 0.146)
Ca (0.000, 0.500, 0.849)
Ca (0.500, 0.500, 0.369)
Ca (0.500, 0.000, 0.639)
Au (0.500, 0.000, 0.921)
Au (0.000, 0.000, 0.420)
Au (0.000, 0.500, 0.581)
Cd (0.500, 0.500, 0.075)

Output
calculated volume = 214 Å³ per cell
ΔH_f (0 K) = -675 meV/atom
density = 6.69 g/cm³
space-group type = Pmm2, No. 25
VASP energy = -3.019 eV/atom

=====

3.
The following is a DFT calculation (PBE) of a geometry-optimized ScBeTl structure.

Lattice parameters (Å, degrees): 6.106 6.106 3.170 74.95 74.95 30.09
Site moments in Bohr magnetons follow the coordinates.
Fractional positions:
Sc (0.355, 0.355, 0.645)  0.24
Tl (0.646, 0.646, 0.354)  0.00
Be (0.999, 0.999, 0.001)  0.00

Output
distance to the lowest polymorph of the same formula = 0.245 eV per atom
calculated volume = 57 Å³ per cell
ΔH_f (0 K) = 158 meV/atom
density = 7.52 g/cm³
space-group type = I4mm, No. 107
VASP energy = -3.984 eV/atom

=====

4.
The following is a DFT calculation (PBE) of a geometry-optimized InGa3Pd12 structure.

Lattice parameters (Å, degrees): 3.974 3.974 15.635 90.00 90.00 90.00
Fractional positions:
Pd (0.000, 0.500, 0.132)
Pd (0.500, 0.000, 0.132)
Pd (0.500, 0.500, 0.000)
Pd (0.500, 0.000, 0.623)
Pd (0.500, 0.500, 0.745)
Pd (0.500, 0.000, 0.868)
Pd (0.500, 0.500, 0.500)
Pd (0.500, 0.000, 0.377)
Pd (0.000, 0.500, 0.623)
Pd (0.000, 0.500, 0.377)
Pd (0.500, 0.500, 0.255)
Pd (0.000, 0.500, 0.868)
Ga (0.000, 0.000, 0.500)
Ga (0.000, 0.000, 0.254)
Ga (0.000, 0.000, 0.746)
In (0.000, 0.000, 0.000)

Output
calculated volume = 247 Å³ per cell
ΔH_f (0 K) = -440 meV/atom
density = 10.77 g/cm³
space-group type = P4/mmm, No. 123
VASP energy = -5.073 eV/atom

=====

5.
The following is a DFT calculation (PBE) of a geometry-optimized PaAgB2O6 structure.

Lattice parameters (Å, degrees): 4.482 7.025 7.025 93.64 84.72 84.72
Fractional positions:
B (0.699, 0.640, 0.789)
B (0.801, 0.211, 0.360)
B (0.301, 0.360, 0.211)
B (0.199, 0.789, 0.640)
Pa (0.750, 0.706, 0.294)
Pa (0.250, 0.294, 0.706)
O (0.187, 0.981, 0.737)
O (0.160, 0.556, 0.199)
O (0.840, 0.444, 0.801)
O (0.388, 0.628, 0.726)
O (0.313, 0.263, 0.019)
O (0.612, 0.372, 0.274)
O (0.888, 0.726, 0.628)
O (0.112, 0.274, 0.372)
O (0.687, 0.737, 0.981)
O (0.813, 0.019, 0.263)
O (0.660, 0.199, 0.556)
O (0.340, 0.801, 0.444)
Ag (0.750, 0.081, 0.919)
Ag (0.250, 0.919, 0.081)

Output
energy relative to the elements, uncorrected = -2.33 eV/atom
calculated volume = 219 Å³ per cell
density = 6.93 g/cm³
space-group type = C2/c, No. 15
VASP energy = -7.879 eV/atom

=====

6.
The following is a DFT calculation (PBE) of a geometry-optimized Mo3AuSe structure.

Lattice parameters (Å, degrees): 4.884 4.884 4.884 90.00 90.00 90.00
Site moments in Bohr magnetons follow the coordinates.
Fractional positions:
Se (0.500, 0.500, 0.500)  -0.02
Au (0.000, 0.000, 0.000)  0.01
Mo (0.000, 0.000, 0.500)  0.18
Mo (0.500, 0.000, 0.000)  0.18
Mo (0.000, 0.500, 0.000)  0.13

Output
distance to the lowest polymorph of the same formula = 1.136 eV per atom
energy relative to the elements, uncorrected = 2.26 eV/atom
calculated volume = 116 Å³ per cell
density = 8.04 g/cm³
space-group type = Pm-3m, No. 221
VASP energy = -5.592 eV/atom

=====

no.,magnetization (μB per formula unit)
1,0.00
2,0.00
3,0.33
4,0.00
5,0.00
6,0.53